Density functional theory data (PBE-GGA) for an optimized crystal structure of CsGdFe.

The structure belongs to space group F-43m (No. 216); the cell edges are 7.175, 7.175 and 7.175 Å and the angles 90.00°, 90.00° and 90.00°. The asymmetric unit holds Cs at (0.000, 0.000, 0.000), Gd at (0.250, 0.250, 0.250) and Fe at (0.250, 0.250, 0.750).

The value obtained for the total DFT energy (no corrections) is -2.9096 eV/atom. For the volume, the calculation gives 30.8 A^3/atom.


Density functional theory data (PBE-GGA) for an optimized crystal structure of CsGdFeS3.

The structure belongs to space group Pnma (No. 62); the cell edges are 10.575, 4.041 and 15.417 Å and the angles 90.00°, 90.00° and 90.00°. The asymmetric unit holds Cs at (0.249, 0.250, 0.011), Gd at (0.002, 0.250, 0.749), Fe at (0.248, 0.250, 0.283), S at (0.066, 0.250, 0.365), S at (0.070, 0.750, 0.863) and S at (0.247, 0.750, 0.199).

Its energy relative to the lowest polymorph listed for this composition is 5 meV per atom. For the volume, the calculation gives 27.5 A^3/atom.


Density functional theory data (PBE-GGA) for an optimized crystal structure of CsGdFeS3.

The structure belongs to space group P2_1/m (No. 11); the cell edges are 9.486, 4.017 and 9.761 Å and the angles 90.00°, 111.51° and 90.00°. The asymmetric unit holds Cs at (0.214, 0.250, 0.241), Gd at (0.334, 0.750, 0.853), Fe at (0.076, 0.250, 0.595), S at (0.125, 0.250, 0.842), S at (0.184, 0.750, 0.541) and S at (0.471, 0.750, 0.152).

Its energy relative to the lowest polymorph listed for this composition is 0 meV per atom. For the volume, the calculation gives 28.8 A^3/atom.


Density functional theory data (PBE-GGA) for an optimized crystal structure of CsGdFeS3.

The structure belongs to space group Cmcm (No. 63); the cell edges are 4.027, 15.630 and 10.561 Å and the angles 90.00°, 90.00° and 90.00°. The asymmetric unit holds Cs at (0.000, 0.240, 0.250), Gd at (0.000, 0.500, 0.000), Fe at (0.000, 0.031, 0.750), S at (0.000, 0.112, 0.569) and S at (0.000, 0.448, 0.750).

Its energy relative to the lowest polymorph listed for this composition is 4 meV per atom. For the volume, the calculation gives 27.7 A^3/atom.


Density functional theory data (PBE-GGA) for an optimized crystal structure of CsGdFeSe3.

The structure belongs to space group Pnma (No. 62); the cell edges are 16.470, 4.152 and 11.140 Å and the angles 90.00°, 90.00° and 90.00°. The asymmetric unit holds Cs at (0.236, 0.250, 0.020), Gd at (0.017, 0.250, 0.344), Fe at (0.010, 0.750, 0.084), Se at (0.075, 0.750, 0.884), Se at (0.091, 0.250, 0.575) and Se at (0.117, 0.750, 0.236).

Its energy relative to the lowest polymorph listed for this composition is 1 meV per atom. For the volume, the calculation gives 31.7 A^3/atom.


Density functional theory data (PBE-GGA) for an optimized crystal structure of CsGdFeSe3.

The structure belongs to space group Pnma (No. 62); the cell edges are 10.931, 4.180 and 16.181 Å and the angles 90.00°, 90.00° and 90.00°. The asymmetric unit holds Cs at (0.243, 0.250, 0.008), Gd at (0.008, 0.750, 0.251), Fe at (0.242, 0.750, 0.782), Se at (0.058, 0.750, 0.865), Se at (0.075, 0.250, 0.366) and Se at (0.242, 0.250, 0.694).

Its energy relative to the lowest polymorph listed for this composition is 5 meV per atom. For the volume, the calculation gives 30.8 A^3/atom.


Density functional theory data (PBE-GGA) for an optimized crystal structure of CsGdFeSe3.

The structure belongs to space group C2/m (No. 12); the cell edges are 17.461, 4.356 and 9.329 Å and the angles 90.00°, 101.67° and 90.00°. The asymmetric unit holds Cs at (0.154, 0.000, 0.061), Gd at (0.164, 0.000, 0.570), Fe at (0.000, 0.500, 0.268), Se at (0.000, 0.000, 0.500), Se at (0.000, 0.500, 0.000), Se at (0.146, 0.500, 0.760) and Se at (0.163, 0.500, 0.361).

Its energy relative to the lowest polymorph listed for this composition is 239 meV per atom. For the volume, the calculation gives 29.0 A^3/atom.


Density functional theory data (PBE-GGA) for an optimized crystal structure of CsGdFeSe3.

The structure belongs to space group Pnma (No. 62); the cell edges are 10.967, 4.219 and 15.595 Å and the angles 90.00°, 90.00° and 90.00°. The asymmetric unit holds Cs at (0.249, 0.250, 0.008), Gd at (0.001, 0.250, 0.749), Fe at (0.248, 0.250, 0.282), Se at (0.065, 0.250, 0.369), Se at (0.067, 0.750, 0.868) and Se at (0.248, 0.750, 0.194).

Its energy relative to the lowest polymorph listed for this composition is 10 meV per atom. For the volume, the calculation gives 30.1 A^3/atom.


Density functional theory data (PBE-GGA) for an optimized crystal structure of CsGdFeSe3.

The structure belongs to space group P2_1/m (No. 11); the cell edges are 9.601, 4.169 and 10.346 Å and the angles 90.00°, 112.06° and 90.00°. The asymmetric unit holds Cs at (0.216, 0.250, 0.246), Gd at (0.333, 0.750, 0.854), Fe at (0.074, 0.250, 0.587), Se at (0.115, 0.250, 0.834), Se at (0.201, 0.750, 0.542) and Se at (0.463, 0.750, 0.150).

Its energy relative to the lowest polymorph listed for this composition is 0 meV per atom. For the volume, the calculation gives 32.0 A^3/atom.


Density functional theory data (PBE-GGA) for an optimized crystal structure of CsGdFeSe3.

The structure belongs to space group Pnma (No. 62); the cell edges are 10.815, 4.234 and 15.400 Å and the angles 90.00°, 90.00° and 90.00°. The asymmetric unit holds Cs at (0.029, 0.250, 0.162), Gd at (0.151, 0.750, 0.432), Fe at (0.154, 0.250, 0.629), Se at (0.031, 0.750, 0.608), Se at (0.203, 0.750, 0.008) and Se at (0.234, 0.250, 0.771).

Its energy relative to the lowest polymorph listed for this composition is 76 meV per atom. For the volume, the calculation gives 29.4 A^3/atom.


Density functional theory data (PBE-GGA) for an optimized crystal structure of CsGdFeSe3.

The structure belongs to space group Cmcm (No. 63); the cell edges are 4.167, 16.221 and 10.908 Å and the angles 90.00°, 90.00° and 90.00°. The asymmetric unit holds Cs at (0.000, 0.242, 0.250), Gd at (0.000, 0.500, 0.000), Fe at (0.000, 0.032, 0.750), Se at (0.000, 0.116, 0.566) and Se at (0.000, 0.444, 0.750).

Its energy relative to the lowest polymorph listed for this composition is 5 meV per atom. For the volume, the calculation gives 30.7 A^3/atom.


Density functional theory data (PBE-GGA) for an optimized crystal structure of CsFeGe.

The structure belongs to space group F-43m (No. 216); the cell edges are 7.360, 7.360 and 7.360 Å and the angles 90.00°, 90.00° and 90.00°. The asymmetric unit holds Cs at (0.000, 0.000, 0.000), Fe at (0.000, 0.000, 0.500) and Ge at (0.250, 0.250, 0.250).

The value obtained for the total DFT energy (no corrections) is -3.2942 eV/atom. For the volume, the calculation gives 33.2 A^3/atom.


Density functional theory data (PBE-GGA) for an optimized crystal structure of CsFeGeS3.

The structure belongs to space group P2_1/m (No. 11); the cell edges are 8.256, 3.442 and 10.604 Å and the angles 90.00°, 102.87° and 90.00°. The asymmetric unit holds Cs at (0.058, 0.250, 0.239), Fe at (0.466, 0.750, 0.893), Ge at (0.404, 0.250, 0.561), S at (0.209, 0.750, 0.550), S at (0.295, 0.250, 0.940) and S at (0.435, 0.750, 0.230).

The value obtained for the total DFT energy (no corrections) is -4.8982 eV/atom. For the volume, the calculation gives 24.5 A^3/atom.


Density functional theory data (PBE-GGA) for an optimized crystal structure of CsFeGeTe3.

The structure belongs to space group P2_1/m (No. 11); the cell edges are 9.408, 4.024 and 11.294 Å and the angles 90.00°, 113.46° and 90.00°. The asymmetric unit holds Cs at (0.221, 0.250, 0.270), Fe at (0.373, 0.750, 0.849), Ge at (0.112, 0.250, 0.550), Te at (0.170, 0.250, 0.803), Te at (0.337, 0.750, 0.603) and Te at (0.430, 0.750, 0.091).

The value obtained for the total DFT energy (no corrections) is -4.1281 eV/atom. For the volume, the calculation gives 32.7 A^3/atom.


Density functional theory data (PBE-GGA) for an optimized crystal structure of CsFeH4.

The structure belongs to space group P4_2/nmc (No. 137, origin choice 2); the cell edges are 5.409, 5.409 and 7.553 Å and the angles 90.00°, 90.00° and 90.00°. The asymmetric unit holds Cs at (0.250, 0.750, 0.250), Fe at (0.250, 0.750, 0.750) and H at (0.002, 0.750, 0.624).

The value obtained for the total DFT energy (no corrections) is -3.4031 eV/atom. For the volume, the calculation gives 18.4 A^3/atom.


Density functional theory data (PBE-GGA) for an optimized crystal structure of CsFeHg.

The structure belongs to space group F-43m (No. 216); the cell edges are 7.920, 7.920 and 7.920 Å and the angles 90.00°, 90.00° and 90.00°. The asymmetric unit holds Cs at (0.000, 0.000, 0.000), Fe at (0.000, 0.000, 0.500) and Hg at (0.250, 0.250, 0.250).

Its energy relative to the lowest polymorph listed for this composition is 92 meV per atom. For the volume, the calculation gives 41.4 A^3/atom.


Density functional theory data (PBE-GGA) for an optimized crystal structure of CsFeHg.

The structure belongs to space group F-43m (No. 216); the cell edges are 7.726, 7.726 and 7.726 Å and the angles 90.00°, 90.00° and 90.00°. The asymmetric unit holds Cs at (0.000, 0.000, 0.000), Fe at (0.250, 0.250, 0.250) and Hg at (0.000, 0.000, 0.500).

Its energy relative to the lowest polymorph listed for this composition is 0 meV per atom. For the volume, the calculation gives 38.4 A^3/atom.


Density functional theory data (PBE-GGA) for an optimized crystal structure of CsFeHgTe3.

The structure belongs to space group P2_1/m (No. 11); the cell edges are 10.775, 4.003 and 10.807 Å and the angles 90.00°, 112.12° and 90.00°. The asymmetric unit holds Cs at (0.219, 0.250, 0.229), Fe at (0.065, 0.250, 0.583), Hg at (0.336, 0.750, 0.912), Te at (0.112, 0.250, 0.836), Te at (0.191, 0.750, 0.530) and Te at (0.492, 0.250, 0.811).

Its energy relative to the lowest polymorph listed for this composition is 0 meV per atom. For the volume, the calculation gives 36.0 A^3/atom.


Density functional theory data (PBE-GGA) for an optimized crystal structure of CsFeHgTe3.

The structure belongs to space group Cmcm (No. 63); the cell edges are 4.068, 17.467 and 11.586 Å and the angles 90.00°, 90.00° and 90.00°. The asymmetric unit holds Cs at (0.000, 0.243, 0.250), Fe at (0.000, 0.000, 0.000), Hg at (0.000, 0.450, 0.750), Te at (0.000, 0.068, 0.750) and Te at (0.000, 0.393, 0.525).

Its energy relative to the lowest polymorph listed for this composition is 49 meV per atom. For the volume, the calculation gives 34.3 A^3/atom.


Density functional theory data (PBE-GGA) for an optimized crystal structure of CsHoFe.

The structure belongs to space group F-43m (No. 216); the cell edges are 7.373, 7.373 and 7.373 Å and the angles 90.00°, 90.00° and 90.00°. The asymmetric unit holds Cs at (0.000, 0.000, 0.000), Ho at (0.250, 0.250, 0.250) and Fe at (0.000, 0.000, 0.500).

The value obtained for the total DFT energy (no corrections) is -3.0773 eV/atom. For the volume, the calculation gives 33.4 A^3/atom.


no.,total magnetic moment (μB per formula unit)
1,2.7
2,4.0
3,4.0
4,4.0
5,4.0
6,4.0
7,4.0
8,4.0
9,4.0
10,4.0
11,4.0
12,3.3
13,3.1
14,1.0
15,5.0
16,3.0
17,3.0
18,3.0
19,4.0
20,1.4